(1)
TaAs2PdBr | the Alexandria database | GGA-PBEsol | optimized geometry; total DFT energy (no corrections) = -5.106 eV per atom; formation energy from raw total energies = 1.012 eV per atom; DOS at the Fermi energy = 4.54 states/eV/cell
1.0
-3.189 -2.356 -2.615
3.423 -2.898 -1.563
-0.834 -2.982 3.703
As Ta Pd Br
2 1 1 1
direct
0.000 0.500 0.000 As
0.500 0.000 0.000 As
0.500 0.500 0.500 Ta
0.000 0.000 0.000 Pd
0.000 0.000 0.500 Br

***

(2)
Co4Re | the Alexandria database | GGA-PBEsol | optimized geometry; total DFT energy (no corrections) = -8.844 eV per atom; ΔH_f (0 K) = 0.060 eV per formula unit; DOS at the Fermi energy = 6.07 states/eV/cell
1.0
3.519 0.000 0.000
1.760 3.935 0.000
1.760 0.000 3.935
Co Re
4 1
direct
0.803 0.598 0.796 Co
0.599 0.204 0.598 Co
0.197 0.402 0.204 Co
0.401 0.796 0.402 Co
0.000 0.000 0.000 Re